TiCuPS2 | PBE | relaxed

## Properties
ΔE to the lowest computed polymorph	0	meV per atom
raw formation energy	0.17	eV per atom
magnetization	0.00	μB/atom

Lattice parameters (Å, degrees): 4.647 4.647 4.759 90.00 90.00 90.00
Space group P4/mmm (No. 123)
Symmetry-distinct sites (fractional):
Ti1 0.000 0.000 0.000 (multiplicity 1)
Cu1 0.500 0.500 0.500 (multiplicity 1)
P1 0.000 0.000 0.500 (multiplicity 1)
S1 0.000 0.500 0.000 (multiplicity 2)

Co2ReRh | PBE | relaxed

## Properties
ΔE to the lowest computed polymorph	182	meV per atom
magnetization	0.90	μB/atom
ΔH_f (0 K)	0.207	eV/atom

Lattice parameters (Å, degrees): 3.029 3.029 5.606 90.00 90.00 90.00
Space group P4/mmm (No. 123)
Symmetry-distinct sites (fractional):
Co1 0.000 0.000 0.242 (multiplicity 2)
Re1 0.500 0.500 0.000 (multiplicity 1)
Rh1 0.500 0.500 0.500 (multiplicity 1)

ScNiPd4 | PBE | relaxed

## Properties
magnetization	0.00	μB/atom
ΔH_f (0 K)	-0.292	eV/atom

Lattice parameters (Å, degrees): 4.465 19.879 4.528 90.00 90.00 90.00
Space group Cmc2_1 (No. 36)
Symmetry-distinct sites (fractional):
Sc1 0.000 0.094 0.000 (multiplicity 4)
Ni1 0.000 0.399 0.915 (multiplicity 4)
Pd1 0.000 0.167 0.469 (multiplicity 4)
Pd2 0.000 0.255 0.934 (multiplicity 4)
Pd3 0.000 0.331 0.419 (multiplicity 4)
Pd4 0.000 0.471 0.388 (multiplicity 4)